(1)
DFT (PBE) results for a relaxed CuPbCl4 crystal.

## Properties
Formation energy (no corrections), meV/atom: -767
Density of states at the Fermi level, states/eV/f.u.: 0.85
Final energy, eV/f.u.: -19.79
Offset from the most stable computed form, meV/atom: 0
Mass density, g/cm³: 3.9
Space group: I-4 (82)

Cell lengths 6.0971, 6.0971, 6.0971 Å; angles 110.80, 110.80, 106.84 degrees
Last column: nearest neighbours and their distance in Å.
Element x y z (fractional)
Cu: 0.0000 0.0000 0.0000  4 Cl 2.28
Pb: 0.7500 0.2500 0.5000  8 Cl 3.05-3.06
Cl: 0.2321 0.2344 0.4649  1 Cu 2.28
Cl: 0.2328 0.7679 0.0023  1 Cu 2.28
Cl: 0.7656 0.2305 0.9977  1 Cu 2.28
Cl: 0.7695 0.7672 0.5351  1 Cu 2.28


(2)
DFT (PBE) results for a relaxed BeTlIn2 crystal.

## Properties
Density of states at the Fermi level, states/eV/f.u.: 1.39
Final energy, eV/f.u.: -10.27
Offset from the most stable computed form, meV/atom: 36
Calculated formation energy, meV per atom: 326
Mass density, g/cm³: 7.5
Space group: Imm2 (44)

Cell lengths 7.6079, 7.6079, 7.6079 Å; angles 155.64, 147.42, 41.09 degrees
Last column: nearest neighbours and their distance in Å.
Element x y z (fractional)
Be: 0.0000 0.0000 0.0000  6 In 2.67-2.79
Tl: 0.1886 0.6886 0.5000  2 Be 3.13, 2 Tl 3.21, 6 In 3.32-3.43
In: 0.5100 0.5100 0.0000  4 Be 2.67
In: 0.8400 0.3400 0.5000  2 Be 2.79


(3)
DFT (PBE) results for a relaxed LaTb5PmEr2 crystal.

## Properties
Density of states at the Fermi level, states/eV/f.u.: 14.22
Final energy, eV/f.u.: -40.50
Calculated formation energy, meV per atom: 161
Mass density, g/cm³: 7.9
Space group: Cmc2_1 (36)

Cell lengths 10.3451, 10.3451, 10.6319 Å; angles 90.00, 90.00, 148.38 degrees
Last column: nearest neighbours and their distance in Å.
Element x y z (fractional)
La: 0.0815 0.9185 0.5000  5 Tb 3.05-3.28
La: 0.9185 0.0815 0.0000  5 Tb 3.05-3.28
Tb: 0.0218 0.9782 0.7880  2 La 3.05-3.28
Tb: 0.1109 0.8891 0.0764  6 Tb 3.47-3.83, 4 Er 3.56-3.59, 1 Pm 3.74
Tb: 0.2027 0.7973 0.7602  3 Tb 3.40-3.61, 3 Pm 3.51-3.75, 3 Er 3.53-3.72, 1 La 3.67
Tb: 0.2187 0.7813 0.3634  1 La 3.09, 1 Er 3.33, 2 Tb 3.40
Tb: 0.4832 0.5168 0.0785  2 La 3.21, 2 Er 3.36-3.40, 2 Tb 3.59
Tb: 0.5168 0.4832 0.5785  2 La 3.21, 2 Er 3.36-3.40, 2 Tb 3.59
Tb: 0.7813 0.2187 0.8634  1 La 3.09, 1 Er 3.33, 2 Tb 3.40
Tb: 0.7973 0.2027 0.2602  3 Tb 3.40-3.61, 3 Pm 3.51-3.75, 3 Er 3.53-3.72, 1 La 3.67
Tb: 0.8891 0.1109 0.5764  6 Tb 3.47-3.83, 4 Er 3.56-3.59, 1 Pm 3.74
Tb: 0.9782 0.0218 0.2880  2 La 3.05-3.28
Pm: 0.2988 0.7012 0.0639  2 Er 3.46-3.71, 8 Tb 3.51-3.75, 2 La 3.75
Pm: 0.7012 0.2988 0.5639  2 Er 3.46-3.71, 8 Tb 3.51-3.75, 2 La 3.75
Er: 0.3861 0.6139 0.3723  9 Tb 3.33-3.67, 1 Pm 3.71
Er: 0.3890 0.6110 0.7855  7 Tb 3.36-3.72, 1 Pm 3.46, 2 La 3.67
Er: 0.6110 0.3890 0.2855  7 Tb 3.36-3.72, 1 Pm 3.46, 2 La 3.67
Er: 0.6139 0.3861 0.8723  9 Tb 3.33-3.67, 1 Pm 3.71


(4)
DFT (PBE) results for a relaxed KAcBr2O crystal.

## Properties
Formation energy (no corrections), meV/atom: -2437
Density of states at the Fermi level, states/eV/f.u.: 0.00
Final energy, eV/f.u.: -25.69
Mass density, g/cm³: 4.9
Space group: P4/nmm (129)

Cell lengths 4.3952, 4.3952, 15.3691 Å; angles 90.00, 90.00, 90.00 degrees
Last column: nearest neighbours and their distance in Å.
Element x y z (fractional)
K: 0.2500 0.2500 0.1029  6 Br 3.12-3.43
K: 0.7500 0.7500 0.8971  6 Br 3.12-3.43
Ac: 0.2500 0.2500 0.5787  4 O 2.51
Ac: 0.7500 0.7500 0.4213  4 O 2.51
Br: 0.2500 0.2500 0.3219  1 K 3.37, 4 Ac 3.46, 4 O 3.51
Br: 0.2500 0.2500 0.8800  5 K 3.12-3.43
Br: 0.7500 0.7500 0.1200  5 K 3.12-3.43
Br: 0.7500 0.7500 0.6781  1 K 3.37, 4 Ac 3.46, 4 O 3.51
O: 0.2500 0.7500 0.5000  4 Ac 2.51
O: 0.7500 0.2500 0.5000  4 Ac 2.51